Record 1
DFT (GGA-PBE) results for a geometry-optimized SiSeBr2F structure.

The structure in CIF format:
```
data_SiSeBr2F
_chemical_formula_sum 'Si1 Se1 Br2 F1'
_space_group_name_H-M_alt 'P 1'
_space_group_IT_number 1
_cell_length_a 5.567
_cell_length_b 5.567
_cell_length_c 4.096
_cell_angle_alpha 90.00
_cell_angle_beta 90.00
_cell_angle_gamma 90.00
loop_
_space_group_symop_operation_xyz
'x,y,z'
loop_
_atom_site_label
_atom_site_type_symbol
_atom_site_fract_x
_atom_site_fract_y
_atom_site_fract_z
_atom_site_occupancy
Si1 Si 0.000 0.000 0.000 1
Se1 Se 0.500 0.500 0.500 1
Br1 Br 0.000 0.500 0.500 1
Br2 Br 0.500 0.000 0.500 1
F1 F 0.500 0.500 0.000 1
```

- uncorrected formation energy (eV per atom) = 0.191
- SG = P4/mmm, No. 123
- volume (A^3/atom) = 25.4
- ρ (kg/m³) = 3739
- energy above the lowest structure with this stoichiometry (meV per atom) = 135.8

***

Record 2
DFT (GGA-PBE) results for a geometry-optimized RbReP2S structure.

The structure in CIF format:
```
data_RbReP2S
_chemical_formula_sum 'Rb1 Re1 P2 S1'
_space_group_name_H-M_alt 'P 1'
_space_group_IT_number 1
_cell_length_a 4.640
_cell_length_b 4.640
_cell_length_c 5.203
_cell_angle_alpha 90.00
_cell_angle_beta 90.00
_cell_angle_gamma 90.00
loop_
_space_group_symop_operation_xyz
'x,y,z'
loop_
_atom_site_label
_atom_site_type_symbol
_atom_site_fract_x
_atom_site_fract_y
_atom_site_fract_z
_atom_site_occupancy
Rb1 Rb 0.000 0.000 0.000 1
Re1 Re 0.500 0.500 0.500 1
P1 P 0.000 0.500 0.500 1
P2 P 0.500 0.000 0.500 1
S1 S 0.500 0.500 0.000 1
```

- uncorrected formation energy (eV per atom) = 0.085
- SG = P4/mmm, No. 123
- volume (A^3/atom) = 22.4
- ρ (kg/m³) = 5422
- energy above the lowest structure with this stoichiometry (meV per atom) = 0.0

***

Record 3
DFT (GGA-PBE) results for a geometry-optimized LiZrMo2 structure.

The structure in CIF format:
```
data_LiZrMo2
_chemical_formula_sum 'Li1 Zr1 Mo2'
_space_group_name_H-M_alt 'P 1'
_space_group_IT_number 1
_cell_length_a 4.551
_cell_length_b 4.551
_cell_length_c 4.551
_cell_angle_alpha 60.00
_cell_angle_beta 60.00
_cell_angle_gamma 60.00
loop_
_space_group_symop_operation_xyz
'x,y,z'
loop_
_atom_site_label
_atom_site_type_symbol
_atom_site_fract_x
_atom_site_fract_y
_atom_site_fract_z
_atom_site_occupancy
Li1 Li 0.000 0.000 0.000 1
Zr1 Zr 0.250 0.250 0.250 1
Mo1 Mo 0.500 0.500 0.500 1
Mo2 Mo 0.750 0.750 0.750 1
```

- energy of formation from the pure elements (eV/f.u.) = 0.8
- SG = F-43m, No. 216
- volume (A^3/atom) = 16.7
- ρ (kg/m³) = 7227
- energy above the lowest structure with this stoichiometry (meV per atom) = 3.6

***

Record 4
DFT (GGA-PBE) results for a geometry-optimized ReRu3Pb structure.

The structure in CIF format:
```
data_ReRu3Pb
_chemical_formula_sum 'Re1 Ru3 Pb1'
_space_group_name_H-M_alt 'P 1'
_space_group_IT_number 1
_cell_length_a 4.723
_cell_length_b 4.723
_cell_length_c 4.723
_cell_angle_alpha 90.00
_cell_angle_beta 90.00
_cell_angle_gamma 90.00
loop_
_space_group_symop_operation_xyz
'x,y,z'
loop_
_atom_site_label
_atom_site_type_symbol
_atom_site_fract_x
_atom_site_fract_y
_atom_site_fract_z
_atom_site_occupancy
Re1 Re 0.000 0.000 0.000 1
Ru1 Ru 0.000 0.000 0.500 1
Ru2 Ru 0.000 0.500 0.000 1
Ru3 Ru 0.500 0.000 0.000 1
Pb1 Pb 0.500 0.500 0.500 1
```

- energy of formation from the pure elements (eV/f.u.) = 6.8
- SG = Pm-3m, No. 221
- volume (A^3/atom) = 21.1
- ρ (kg/m³) = 10976
- energy above the lowest structure with this stoichiometry (meV per atom) = 0.0